# 1
A plane-wave DFT calculation with PBE was carried out for a relaxed structure of Sc2InPt.

The structure in POSCAR format:
```
Sc2InPt
1.0
-2.3442 2.3600 -3.2465
-3.7397 -2.6483 0.7752
-1.1560 2.3840 2.5677
Sc Pt In
2 1 1
Direct
0.0000 0.0000 0.0000 Sc
0.5000 0.5000 0.0000 Sc
0.0000 0.5000 0.5000 Pt
0.5000 0.0000 0.5000 In
```

Values from the calculation:
total magnetization: 0.000 μB/atom
ΔH_f (0 K): -3.12 eV per formula unit
V: 79.7 Å³/cell
total DFT energy (no corrections): -6.14 eV/atom

# 2
A plane-wave DFT calculation with PBE was carried out for a relaxed structure of CaCI2.

The structure in POSCAR format:
```
CaCI2
1.0
-0.4227 -4.5392 4.1873
1.1434 -4.3321 -6.2291
6.6009 3.9191 0.4978
I Ca C
4 2 2
Direct
0.5098 0.7246 0.7496 I
0.3454 0.8495 0.1535 I
0.7398 0.4290 0.2743 I
0.0244 0.2509 0.8942 I
0.4794 0.1369 0.8441 Ca
0.2747 0.4069 0.3627 Ca
0.3200 0.0320 0.3704 C
0.3162 0.1514 0.5066 C
```

Values from the calculation:
formation energy from raw total energies: -0.582 eV/atom
offset from the most stable computed form: 98 meV per atom
total magnetization: 0.000 μB/atom
V: 318.3 Å³/cell
total DFT energy (no corrections): -4.16 eV/atom

# 3
A plane-wave DFT calculation with PBE was carried out for a relaxed structure of GdBRh.

The structure in POSCAR format:
```
GdBRh
1.0
-1.3465 -1.0313 2.4666
2.1401 -2.0712 0.3023
2.3355 4.7896 1.4610
B Gd Rh
1 1 1
Direct
0.7048 0.7048 0.4097 B
0.0094 0.0094 0.0187 Gd
0.2858 0.2858 0.5716 Rh
```

Values from the calculation:
offset from the most stable computed form: 305 meV per atom
total magnetization: 2.467 μB/atom
ΔH_f (0 K): -0.71 eV per formula unit
V: 45.7 Å³/cell
total DFT energy (no corrections): -9.61 eV/atom

# 4
A plane-wave DFT calculation with PBE was carried out for a relaxed structure of HfTi2Ni.

The structure in POSCAR format:
```
HfTi2Ni
1.0
-3.7084 3.3460 1.9552
1.5613 -2.4765 7.1995
4.5326 4.6611 0.6204
Hf Ti Ni
4 8 4
Direct
0.5919 0.5256 0.2500 Hf
0.9081 0.0256 0.2500 Hf
0.4081 0.4744 0.7500 Hf
0.0919 0.9744 0.7500 Hf
0.1093 0.6813 0.0395 Ti
0.3907 0.1813 0.4605 Ti
0.8907 0.3187 0.5395 Ti
0.6093 0.8187 0.9605 Ti
0.8907 0.3187 0.9605 Ti
0.6093 0.8187 0.5395 Ti
0.1093 0.6813 0.4605 Ti
0.3907 0.1813 0.0395 Ti
0.1332 0.4019 0.2500 Ni
0.3668 0.9019 0.2500 Ni
0.8668 0.5981 0.7500 Ni
0.6332 0.0981 0.7500 Ni
```

Values from the calculation:
offset from the most stable computed form: 0 meV per atom
total magnetization: 0.000 μB/atom
ΔH_f (0 K): -0.73 eV per formula unit
V: 272.3 Å³/cell
total DFT energy (no corrections): -8.06 eV/atom